# TaReSb2

A geometry-optimized TaReSb2 structure (GGA-PBE, Alexandria via LeMat-Bulk).

Cell: 4.3545 3.1964 5.7181 Å, 84.74 90.00 90.00°
Closest atoms and distances in Å follow each position.
Fractional positions:
Sb (0.0000, 0.9344, 0.9966)  2 Re 2.69, 2 Ta 2.85
Sb (0.0000, 0.5656, 0.5034)  2 Re 2.69, 2 Ta 2.85
Re (0.5000, 0.7500, 0.7500)  4 Sb 2.69
Ta (0.5000, 0.2500, 0.2500)  4 Sb 2.85, 2 Re 3.15

Output
- Symmetry: No. 10
- Raw formation energy: 690.2 meV per atom
- Crystal system: monoclinic
- Energy relative to the lowest polymorph listed for this composition: 650.2 meV/atom

=====

# CsH2Ir

A geometry-optimized CsH2Ir structure (GGA-PBE, Alexandria via LeMat-Bulk).

Cell: 4.4425 4.4425 4.4425 Å, 60.00 60.00 60.00°
Closest atoms and distances in Å follow each position.
Fractional positions:
Ir (0.5000, 0.5000, 0.5000)  8 H 2.72
H (0.7500, 0.7500, 0.7500)  4 Cs 2.72, 4 Ir 2.72
H (0.2500, 0.2500, 0.2500)  4 Ir 2.72, 4 Cs 2.72
Cs (0.0000, 0.0000, 0.0000)  8 H 2.72

Output
- Symmetry: No. 225
- Crystal system: cubic
- Energy relative to the lowest polymorph listed for this composition: 1388.0 meV/atom

=====

# HfSbTe2N

A geometry-optimized HfSbTe2N structure (GGA-PBE, Alexandria via LeMat-Bulk).

Cell: 5.7325 5.7325 3.8941 Å, 90.00 90.00 90.00°
Closest atoms and distances in Å follow each position.
Fractional positions:
Te (0.0000, 0.5000, 0.0000)  2 Sb 2.87
Te (0.5000, 0.0000, 0.0000)  2 Sb 2.87
N (0.0000, 0.0000, 0.5000)  2 Sb 1.95
Hf (0.5000, 0.5000, 0.5000)  8 Te 3.47
Sb (0.0000, 0.0000, 0.0000)  2 N 1.95

Output
- Symmetry: No. 123
- Raw formation energy: 856.8 meV per atom
- Crystal system: tetragonal
- Energy relative to the lowest polymorph listed for this composition: 855.9 meV/atom

=====

# CuTeSe2

A geometry-optimized CuTeSe2 structure (GGA-PBE, Alexandria via LeMat-Bulk).

Cell: 6.9166 6.9166 4.4595 Å, 72.75 72.75 29.65°
Closest atoms and distances in Å follow each position.
Fractional positions:
Se (0.9111, 0.9111, 0.1735)  2 Cu 2.39
Se (0.7156, 0.7156, 0.8891)  2 Cu 2.41, 1 Te 2.58
Cu (0.3141, 0.3141, 0.0348)  4 Se 2.39-2.41
Te (0.5592, 0.5592, 0.4026)  1 Se 2.58

Output
- Symmetry: No. 8
- Raw formation energy: 14.3 meV per atom
- Crystal system: monoclinic

=====

# Rb2HgOF

A geometry-optimized Rb2HgOF structure (GGA-PBE, Alexandria via LeMat-Bulk).

Cell: 6.5735 6.5735 4.9679 Å, 90.00 90.00 90.00°
Closest atoms and distances in Å follow each position.
Fractional positions:
O (0.5000, 0.5000, 0.5000)  8 Rb 4.12
Rb (0.5000, 0.0000, 0.0000)  2 Hg 3.29
Rb (0.0000, 0.5000, 0.0000)  2 Hg 3.29
F (0.0000, 0.0000, 0.5000)  2 Hg 2.48
Hg (0.0000, 0.0000, 0.0000)  2 F 2.48

Output
- Symmetry: No. 123
- Raw formation energy: -543.2 meV per atom
- Crystal system: tetragonal

=====

# Ac2Tl2TeO6

A geometry-optimized Ac2Tl2TeO6 structure (GGA-PBE, Alexandria via LeMat-Bulk).

Cell: 6.4356 6.4356 6.7653 Å, 98.11 98.11 119.13°
Closest atoms and distances in Å follow each position.
Fractional positions:
Tl (0.1565, 0.8435, 0.0000)  4 O 2.83-2.91
Tl (0.8435, 0.1565, 0.0000)  4 O 2.83-2.91
Ac (0.6649, 0.3351, 0.5000)  6 O 2.50-2.59
Ac (0.3351, 0.6649, 0.5000)  6 O 2.50-2.59
O (0.0473, 0.3532, 0.6656)  1 Te 2.24, 1 Ac 2.50
O (0.6468, 0.9527, 0.3344)  1 Te 2.24, 1 Ac 2.50
O (0.3532, 0.0473, 0.6656)  1 Te 2.24, 1 Ac 2.50
O (0.2351, 0.2351, 0.3117)  1 Te 2.25
O (0.9527, 0.6468, 0.3344)  1 Te 2.24, 1 Ac 2.50
O (0.7649, 0.7649, 0.6883)  1 Te 2.25
Te (0.0000, 0.0000, 0.5000)  6 O 2.24-2.25

Output
- Symmetry: No. 12
- Raw formation energy: -1827.1 meV per atom
- Crystal system: monoclinic

=====

# BaNi2Se

A geometry-optimized BaNi2Se structure (GGA-PBE, Alexandria via LeMat-Bulk).

Cell: 5.3080 5.3080 4.5103 Å, 65.64 65.64 107.59°
Closest atoms and distances in Å follow each position.
Fractional positions:
Ni (0.5000, 0.5000, 0.0000)  2 Se 2.68, 2 Ba 2.68
Ni (0.0000, 0.0000, 0.0000)  2 Ba 2.68, 2 Se 2.68
Se (0.5000, 0.0000, 0.5000)  4 Ni 2.68
Ba (0.0000, 0.5000, 0.5000)  4 Ni 2.68

Output
- Symmetry: No. 12
- Raw formation energy: 176.5 meV per atom
- Crystal system: monoclinic

=====

# Sr4Sn

A geometry-optimized Sr4Sn structure (GGA-PBE, Alexandria via LeMat-Bulk).

Cell: 6.4646 6.4646 6.4646 Å, 90.00 90.00 90.00°
Closest atoms and distances in Å follow each position.
Fractional positions:
Sn (0.5000, 0.5000, 0.5000)  6 Sr 3.23
Sr (0.5000, 0.0000, 0.5000)  2 Sn 3.23
Sr (0.0000, 0.5000, 0.5000)  2 Sn 3.23
Sr (0.0000, 0.0000, 0.0000)  12 Sr 4.57
Sr (0.5000, 0.5000, 0.0000)  2 Sn 3.23

Output
- Symmetry: No. 221
- Crystal system: cubic
- E_form: -0.175 eV per atom

=====

# Pr2PuGe

A geometry-optimized Pr2PuGe structure (GGA-PBE, Alexandria via LeMat-Bulk).

Cell: 3.6507 3.6507 11.2492 Å, 80.66 80.66 60.00°
Closest atoms and distances in Å follow each position.
Fractional positions:
Ge (0.5000, 0.5000, 0.5000)  6 Pr 3.01
Pr (0.8983, 0.8983, 0.3051)  3 Ge 3.01, 1 Pu 3.37
Pr (0.1017, 0.1017, 0.6949)  3 Ge 3.01, 1 Pu 3.37
Pu (0.0000, 0.0000, 0.0000)  2 Pr 3.37, 6 Pu 3.65

Output
- Symmetry: No. 166
- Crystal system: trigonal
- Energy relative to the lowest polymorph listed for this composition: 346.7 meV/atom
- E_form: 0.101 eV per atom

=====

# Na3Er3TmTe8

A geometry-optimized Na3Er3TmTe8 structure (GGA-PBE, Alexandria via LeMat-Bulk).

Cell: 8.6467 8.6492 9.1904 Å, 118.08 90.00 119.99°
Closest atoms and distances in Å follow each position.
Fractional positions:
Na (0.0000, 0.5000, 0.0000)  6 Te 3.25-3.26
Na (0.5000, 0.5000, 0.0000)  6 Te 3.25-3.26
Na (0.0000, 0.0000, 0.0000)  6 Te 3.25-3.26
Tm (0.0000, 0.0000, 0.5000)  6 Te 3.07
Te (0.2437, 0.4874, 0.7295)  2 Er 3.06, 1 Tm 3.07, 2 Na 3.26
Te (0.7420, 0.9858, 0.7295)  2 Er 3.06, 1 Tm 3.07, 2 Na 3.26
Te (0.2563, 0.5126, 0.2689)  3 Er 3.07, 3 Na 3.25
Te (0.7563, 0.5126, 0.2705)  2 Er 3.06, 1 Tm 3.07, 2 Na 3.26
Te (0.2438, 0.9858, 0.7295)  2 Er 3.06, 1 Tm 3.07, 2 Na 3.26
Te (0.7437, 0.4874, 0.7311)  3 Er 3.07, 3 Na 3.25
Te (0.7562, 0.0142, 0.2705)  2 Er 3.06, 1 Tm 3.07, 2 Na 3.26
Te (0.2580, 0.0142, 0.2705)  2 Er 3.06, 1 Tm 3.07, 2 Na 3.26
Er (0.0000, 0.5000, 0.5000)  6 Te 3.06-3.07
Er (0.5000, 0.5000, 0.5000)  6 Te 3.06-3.07
Er (0.5000, 0.0000, 0.5000)  6 Te 3.06-3.07

Output
- Symmetry: No. 166
- Raw formation energy: -1237.8 meV per atom
- Crystal system: trigonal

=====

# Ag2Sn2Au5

A geometry-optimized Ag2Sn2Au5 structure (GGA-PBE, Alexandria via LeMat-Bulk).

Cell: 5.2195 7.4988 7.6175 Å, 133.52 90.00 110.37°
Closest atoms and distances in Å follow each position.
Fractional positions:
Sn (0.3276, 0.6552, 0.5041)  5 Au 2.79-3.12, 1 Ag 2.92
Sn (0.6724, 0.3448, 0.4959)  5 Au 2.79-3.12, 1 Ag 2.92
Ag (0.1904, 0.3808, 0.9750)  6 Au 2.79-2.96, 1 Sn 2.92, 2 Ag 2.97
Ag (0.8096, 0.6192, 0.0250)  6 Au 2.79-2.96, 1 Sn 2.92, 2 Ag 2.97
Au (0.3952, 0.7904, 0.9914)  3 Ag 2.79-2.96, 2 Sn 2.82-3.08, 4 Au 2.85-2.97
Au (0.0000, 0.0000, 0.0000)  2 Ag 2.82, 6 Au 2.91-2.97
Au (0.1044, 0.2087, 0.5005)  3 Sn 2.79-3.12, 2 Ag 2.85-2.87, 3 Au 2.87-2.93
Au (0.6048, 0.2096, 0.0086)  3 Ag 2.79-2.96, 2 Sn 2.82-3.08, 4 Au 2.85-2.97
Au (0.8956, 0.7913, 0.4995)  3 Sn 2.79-3.12, 2 Ag 2.85-2.87, 3 Au 2.87-2.93

Output
- Symmetry: No. 12
- Crystal system: monoclinic
- E_form: -0.001 eV per atom

=====

# BaMg4Zn2Ag

A geometry-optimized BaMg4Zn2Ag structure (GGA-PBE, Alexandria via LeMat-Bulk).

Cell: 4.7135 4.7135 10.6091 Å, 77.17 77.17 60.00°
Closest atoms and distances in Å follow each position.
Fractional positions:
Mg (0.5878, 0.5878, 0.2365)  1 Ag 2.70, 3 Zn 2.75
Mg (0.4122, 0.4122, 0.7635)  1 Ag 2.70, 3 Zn 2.75
Mg (0.8639, 0.8639, 0.4084)  3 Ag 2.88, 3 Zn 3.04
Mg (0.1361, 0.1361, 0.5916)  3 Ag 2.88, 3 Zn 3.04
Ag (0.5000, 0.5000, 0.5000)  8 Mg 2.70-2.88
Ba (0.0000, 0.0000, 0.0000)  6 Mg 3.65, 6 Zn 3.93
Zn (0.7587, 0.7587, 0.7240)  6 Mg 2.75-3.04
Zn (0.2413, 0.2413, 0.2760)  6 Mg 2.75-3.04

Output
- Symmetry: No. 166
- Crystal system: trigonal
- E_form: -0.102 eV per atom

=====

# Tm2Th3Sc7

A geometry-optimized Tm2Th3Sc7 structure (GGA-PBE, Alexandria via LeMat-Bulk).

Cell: 3.3422 6.0122 16.9428 Å, 75.92 90.00 90.00°
Closest atoms and distances in Å follow each position.
Fractional positions:
Sc (0.5000, 0.2475, 0.4965)  2 Sc 2.95-3.07, 2 Tm 3.26-3.29
Sc (0.0000, 0.4376, 0.8370)  2 Tm 3.31, 7 Sc 3.32-3.48, 3 Th 3.33-3.47
Sc (0.5000, 0.0693, 0.1637)  1 Tm 3.28, 3 Th 3.30-3.49, 8 Sc 3.34-3.48
Sc (0.0000, 0.5624, 0.1630)  2 Tm 3.31, 7 Sc 3.32-3.48, 3 Th 3.33-3.47
Sc (0.0000, 0.0000, 0.0000)  8 Sc 3.32-3.35, 4 Th 3.44
Sc (0.5000, 0.7525, 0.5035)  2 Sc 2.95-3.07, 2 Tm 3.26-3.29
Sc (0.5000, 0.9307, 0.8363)  1 Tm 3.28, 3 Th 3.30-3.49, 8 Sc 3.34-3.48
Th (0.0000, 0.1227, 0.3390)  2 Th 3.34, 7 Sc 3.38-3.54, 4 Tm 3.45
Th (0.5000, 0.5000, 0.0000)  10 Sc 3.30-3.44, 2 Th 3.34
Th (0.0000, 0.8773, 0.6610)  2 Th 3.34, 7 Sc 3.38-3.54, 4 Tm 3.45
Tm (0.5000, 0.3669, 0.6760)  5 Sc 3.26-3.31, 2 Tm 3.34, 4 Th 3.45
Tm (0.5000, 0.6331, 0.3240)  5 Sc 3.26-3.31, 2 Tm 3.34, 4 Th 3.45

Output
- Symmetry: No. 10
- Crystal system: monoclinic
- E_form: 0.105 eV per atom